Entry 1:
! KAg2P (SCAN, PBEsol geometry); values from VASP
&SYSTEM
  ibrav = 0, nat = 4, ntyp = 3
/
ATOMIC_SPECIES
Ag 107.87 Ag.upf
K 39.10 K.upf
P 30.97 P.upf
ATOMIC_POSITIONS crystal
Ag 0.831 0.000 0.687
Ag 0.169 0.000 0.313
K 0.500 0.500 0.000
P 0.000 0.500 0.500
CELL_PARAMETERS angstrom
2.961 0.000 -0.025
0.000 4.492 0.000
-0.883 0.000 6.350
! Spin magnetization: 0.0 μB per formula unit
! D(E_F): 1.1 states/eV/f.u.
! Energy of formation from the pure elements: 0.98 eV per formula unit
! Final energy: -20.120 eV per atom

Entry 2:
! Li2MgCo3O8 (SCAN, PBEsol geometry); values from VASP
&SYSTEM
  ibrav = 0, nat = 14, ntyp = 4
/
ATOMIC_SPECIES
Li 6.94 Li.upf
Mg 24.30 Mg.upf
Co 58.93 Co.upf
O 16.00 O.upf
ATOMIC_POSITIONS crystal
Li 0.000 0.000 0.000
Li 0.500 0.500 0.000
Mg 0.500 0.000 0.500
Co 0.500 0.500 0.500
Co 0.000 0.000 0.500
Co 0.000 0.500 0.500
O 0.033 0.267 0.300
O 0.967 0.733 0.700
O 0.544 0.752 0.295
O 0.456 0.248 0.705
O 0.002 0.756 0.288
O 0.533 0.286 0.288
O 0.467 0.714 0.712
O 0.998 0.244 0.712
CELL_PARAMETERS angstrom
-1.364 5.129 1.967
-2.747 -2.189 -4.439
-1.351 -4.680 3.085
! Spin magnetization: 3.0 μB per formula unit
! Uncorrected formation energy: -1695 meV/atom
! Final energy: -9.660 eV per atom

Entry 3:
! BaB12H12 (SCAN, PBEsol geometry); values from VASP
&SYSTEM
  ibrav = 0, nat = 50, ntyp = 3
/
ATOMIC_SPECIES
Ba 137.33 Ba.upf
B 10.81 B.upf
H 1.01 H.upf
ATOMIC_POSITIONS crystal
Ba 0.333 0.667 0.737
Ba 0.667 0.333 0.237
B 0.082 0.467 0.389
B 0.533 0.615 0.389
B 0.385 0.918 0.389
B 0.467 0.082 0.889
B 0.615 0.533 0.889
B 0.918 0.385 0.889
B 0.490 0.791 0.477
B 0.209 0.699 0.477
B 0.301 0.510 0.477
B 0.791 0.490 0.977
B 0.699 0.209 0.977
B 0.510 0.301 0.977
B 0.178 0.542 0.246
B 0.458 0.636 0.246
B 0.364 0.822 0.246
B 0.542 0.178 0.746
B 0.636 0.458 0.746
B 0.822 0.364 0.746
B 0.586 0.868 0.334
B 0.132 0.718 0.334
B 0.282 0.414 0.334
B 0.868 0.586 0.834
B 0.718 0.132 0.834
B 0.414 0.282 0.834
H 0.903 0.323 0.413
H 0.677 0.580 0.413
H 0.420 0.097 0.413
H 0.323 0.903 0.913
H 0.580 0.677 0.913
H 0.097 0.420 0.913
H 0.605 0.881 0.559
H 0.119 0.724 0.559
H 0.276 0.395 0.559
H 0.881 0.605 0.059
H 0.724 0.119 0.059
H 0.395 0.276 0.059
H 0.070 0.453 0.162
H 0.547 0.618 0.162
H 0.382 0.930 0.162
H 0.453 0.070 0.662
H 0.618 0.547 0.662
H 0.930 0.382 0.662
H 0.767 0.010 0.314
H 0.990 0.757 0.314
H 0.243 0.233 0.314
H 0.010 0.767 0.814
H 0.757 0.990 0.814
H 0.233 0.243 0.814
CELL_PARAMETERS angstrom
7.178 0.000 0.000
-3.589 6.216 0.000
0.000 0.000 11.591
! Spin magnetization: 0.0 μB per formula unit
! D(E_F): 0.0 states/eV/f.u.
! Final energy: -7.221 eV per atom

Entry 4:
! AsRuRhBr2 (SCAN, PBEsol geometry); values from VASP
&SYSTEM
  ibrav = 0, nat = 5, ntyp = 4
/
ATOMIC_SPECIES
Ru 101.07 Ru.upf
As 74.92 As.upf
Rh 102.91 Rh.upf
Br 79.90 Br.upf
ATOMIC_POSITIONS crystal
Ru 0.000 0.000 0.000
As 0.500 0.000 0.000
Rh 0.500 0.500 0.500
Br 0.000 0.000 0.500
Br 0.000 0.500 0.000
CELL_PARAMETERS angstrom
4.551 0.000 0.000
0.000 4.995 0.000
0.000 0.000 4.995
! Spin magnetization: 2.2 μB per formula unit
! D(E_F): 2.4 states/eV/f.u.
! Uncorrected formation energy: 835 meV/atom
! Final energy: -24.706 eV per atom

Entry 5:
! H2WF (SCAN, PBEsol geometry); values from VASP
&SYSTEM
  ibrav = 0, nat = 4, ntyp = 3
/
ATOMIC_SPECIES
H 1.01 H.upf
W 183.84 W.upf
F 19.00 F.upf
ATOMIC_POSITIONS crystal
H 0.250 0.250 0.250
H 0.750 0.750 0.750
W 0.500 0.500 0.500
F 0.000 0.000 0.000
CELL_PARAMETERS angstrom
3.454 0.000 0.000
1.727 2.992 0.000
1.727 0.997 2.821
! Spin magnetization: 0.4 μB per formula unit
! D(E_F): 3.0 states/eV/f.u.
! Energy above the most stable polymorph in this dataset: 0.772 eV per atom
! Final energy: -19.439 eV per atom

Entry 6:
! HgRh2Pb (SCAN, PBEsol geometry); values from VASP
&SYSTEM
  ibrav = 0, nat = 4, ntyp = 3
/
ATOMIC_SPECIES
Hg 200.59 Hg.upf
Pb 207.20 Pb.upf
Rh 102.91 Rh.upf
ATOMIC_POSITIONS crystal
Hg 0.000 0.000 0.447
Pb 0.500 0.500 0.795
Rh 0.000 0.000 0.043
Rh 0.500 0.500 0.216
CELL_PARAMETERS angstrom
-2.484 -0.504 -1.849
0.540 -3.088 0.116
-4.498 -0.554 6.195
! Spin magnetization: 0.0 μB per formula unit
! D(E_F): 2.1 states/eV/f.u.
! Energy of formation from the pure elements: 0.87 eV per formula unit
! Final energy: -52.656 eV per atom